1.
# La3Si2Os

A relaxed La3Si2Os crystal (GGA-PBE, Alexandria via LeMat-Bulk).

## Properties
ΔE_f (raw) = -579 meV/atom
Volume = 25.85 Å³/atom

Lattice parameters (Å, degrees): 12.1644 4.3519 11.7197 90.00 90.00 90.00
With the nearest neighbours (Å) after each atom.
Fractional positions:
La (0.0615, 0.2500, 0.1156)  1 Os 2.91, 4 Si 3.19-3.20
La (0.1172, 0.7500, 0.5588)  5 Si 3.06-3.22, 3 Os 3.10-3.23
La (0.2107, 0.2500, 0.7969)  2 Os 3.04, 4 Si 3.10-3.23
La (0.2893, 0.7500, 0.2969)  2 Os 3.04, 4 Si 3.10-3.23
La (0.3828, 0.2500, 0.0588)  5 Si 3.06-3.22, 3 Os 3.10-3.23
La (0.4385, 0.7500, 0.6156)  1 Os 2.91, 4 Si 3.19-3.20
La (0.5615, 0.2500, 0.3844)  1 Os 2.91, 4 Si 3.19-3.20
La (0.6172, 0.7500, 0.9412)  5 Si 3.06-3.22, 3 Os 3.10-3.23
La (0.7107, 0.2500, 0.7031)  2 Os 3.04, 4 Si 3.10-3.23
La (0.7893, 0.7500, 0.2031)  2 Os 3.04, 4 Si 3.10-3.23
La (0.8828, 0.2500, 0.4412)  5 Si 3.06-3.22, 3 Os 3.10-3.23
La (0.9385, 0.7500, 0.8844)  1 Os 2.91, 4 Si 3.19-3.20
Si (0.0335, 0.7500, 0.3124)  2 Os 2.49
Si (0.2074, 0.7500, 0.9854)  1 Os 2.56
Si (0.2926, 0.2500, 0.4854)  1 Os 2.56
Si (0.4665, 0.2500, 0.8124)  2 Os 2.49
Si (0.5335, 0.7500, 0.1876)  2 Os 2.49
Si (0.7074, 0.7500, 0.5146)  1 Os 2.56
Si (0.7926, 0.2500, 0.0146)  1 Os 2.56
Si (0.9665, 0.2500, 0.6876)  2 Os 2.49
Os (0.1239, 0.2500, 0.3551)  3 Si 2.49-2.56
Os (0.3761, 0.7500, 0.8551)  3 Si 2.49-2.56
Os (0.6239, 0.2500, 0.1449)  3 Si 2.49-2.56
Os (0.8761, 0.7500, 0.6449)  3 Si 2.49-2.56

***

2.
# Er4SbIr

A relaxed Er4SbIr crystal (GGA-PBE, Alexandria via LeMat-Bulk).

## Properties
ΔE to the lowest computed polymorph = 0.00 kcal/mol of atoms
ΔE_f (raw) = -739 meV/atom
Volume = 26.40 Å³/atom

Lattice parameters (Å, degrees): 6.0491 6.4260 8.6927 90.00 110.34 90.00
With the nearest neighbours (Å) after each atom.
Fractional positions:
Er (0.0038, 0.0006, 0.2042)  2 Ir 2.80-2.89
Er (0.0038, 0.4994, 0.2042)  2 Ir 2.80-2.89
Er (0.3985, 0.7500, 0.6114)  1 Ir 2.78
Er (0.4328, 0.7500, 0.1022)  1 Ir 2.71
Er (0.5672, 0.2500, 0.8978)  1 Ir 2.71
Er (0.6015, 0.2500, 0.3886)  1 Ir 2.78
Er (0.9962, 0.5006, 0.7958)  2 Ir 2.80-2.89
Er (0.9962, 0.9994, 0.7958)  2 Ir 2.80-2.89
Sb (0.1988, 0.2500, 0.5440)  9 Er 3.11-3.41
Sb (0.8012, 0.7500, 0.4560)  9 Er 3.11-3.41
Ir (0.2722, 0.2500, 0.0721)  6 Er 2.71-2.89
Ir (0.7278, 0.7500, 0.9279)  6 Er 2.71-2.89

***

3.
# K3Tb3CrTe8

A relaxed K3Tb3CrTe8 crystal (GGA-PBE, Alexandria via LeMat-Bulk).

## Properties
ΔE_f (raw) = -1089 meV/atom
Volume = 37.02 Å³/atom

Lattice parameters (Å, degrees): 9.9341 9.9341 9.9341 51.55 51.55 51.55
With the nearest neighbours (Å) after each atom.
Fractional positions:
K (0.0000, 0.5000, 0.5000)  6 Te 3.51-3.55
K (0.5000, 0.0000, 0.5000)  6 Te 3.51-3.55
K (0.5000, 0.5000, 0.0000)  6 Te 3.51-3.55
Tb (0.0000, 0.0000, 0.5000)  6 Te 3.09-3.10
Tb (0.0000, 0.5000, 0.0000)  6 Te 3.09-3.10
Tb (0.5000, 0.0000, 0.0000)  6 Te 3.09-3.10
Cr (0.5000, 0.5000, 0.5000)  6 Te 2.83
Te (0.2372, 0.2372, 0.2372)  3 Tb 3.09
Te (0.2592, 0.7178, 0.7178)  1 Cr 2.83, 2 Tb 3.10
Te (0.2822, 0.2822, 0.7408)  1 Cr 2.83, 2 Tb 3.10
Te (0.2822, 0.7408, 0.2822)  1 Cr 2.83, 2 Tb 3.10
Te (0.7178, 0.2592, 0.7178)  1 Cr 2.83, 2 Tb 3.10
Te (0.7178, 0.7178, 0.2592)  1 Cr 2.83, 2 Tb 3.10
Te (0.7408, 0.2822, 0.2822)  1 Cr 2.83, 2 Tb 3.10
Te (0.7628, 0.7628, 0.7628)  3 Tb 3.09